Density functional theory data (GGA-PBE) for a relaxed structure of MgAgAu.

Calculated values
magnetic moment: 0.00 μB/f.u.
crystal system: cubic
energy of formation: -0.204 eV/atom
excess energy over the best structure of this formula in the dataset: 16.1 kJ per mole of atoms

Cell and atoms, written as CIF:
```
data_MgAgAu
_chemical_formula_sum 'Mg4 Ag4 Au4'
_cell_length_a 6.4058
_cell_length_b 6.4058
_cell_length_c 6.4058
_cell_angle_alpha 90.00
_cell_angle_beta 90.00
_cell_angle_gamma 90.00
_symmetry_space_group_name_H-M 'F -4 3 m'
_symmetry_Int_Tables_number 216
_symmetry_space_group_name_Hall 'F -4 2 3'
loop_
_atom_site_label
_atom_site_type_symbol
_atom_site_fract_x
_atom_site_fract_y
_atom_site_fract_z
Mg1 Mg 0.0000 0.0000 0.0000
Ag1 Ag 0.0000 0.0000 0.5000
Au1 Au 0.2500 0.2500 0.7500
```

---

Density functional theory data (GGA-PBE) for a relaxed structure of MgAg5Au4.

Calculated values
magnetic moment: 0.00 μB/f.u.
crystal system: orthorhombic
energy of formation: -0.020 eV/atom
excess energy over the best structure of this formula in the dataset: 12.5 kJ per mole of atoms

Cell and atoms, written as CIF:
```
data_MgAg5Au4
_chemical_formula_sum 'Mg2 Ag10 Au8'
_cell_length_a 8.5855
_cell_length_b 9.5724
_cell_length_c 4.9808
_cell_angle_alpha 90.00
_cell_angle_beta 90.00
_cell_angle_gamma 90.00
_symmetry_space_group_name_H-M 'P m m n'
_symmetry_Int_Tables_number 59
loop_
_symmetry_equiv_pos_as_xyz
'x,y,z'
'-x,-y,-z'
'-x+1/2,-y+1/2,z'
'x+1/2,y+1/2,-z'
'x+1/2,-y,-z'
'-x+1/2,y,z'
'-x,y+1/2,-z'
'x,-y+1/2,z'
loop_
_atom_site_label
_atom_site_type_symbol
_atom_site_fract_x
_atom_site_fract_y
_atom_site_fract_z
Mg1 Mg 0.2500 0.2500 0.0183
Ag1 Ag 0.0839 0.0041 0.7461
Ag2 Ag 0.2500 0.7500 0.5855
Au1 Au 0.0684 0.7500 0.0755
Au2 Au 0.2500 0.5064 0.2496
```

---

Density functional theory data (GGA-PBE) for a relaxed structure of MgAg6Au5.

Calculated values
magnetic moment: 0.00 μB/f.u.
crystal system: monoclinic
energy of formation: -0.120 eV/atom

Cell and atoms, written as CIF:
```
data_MgAg6Au5
_chemical_formula_sum 'Mg2 Ag12 Au10'
_cell_length_a 9.8003
_cell_length_b 8.8091
_cell_length_c 5.0546
_cell_angle_alpha 90.00
_cell_angle_beta 100.28
_cell_angle_gamma 90.00
_symmetry_space_group_name_H-M 'C 1 2/m 1'
_symmetry_Int_Tables_number 12
loop_
_symmetry_equiv_pos_as_xyz
'x,y,z'
'-x,-y,-z'
'-x,y,-z'
'x,-y,z'
'x+1/2,y+1/2,z'
'-x+1/2,-y+1/2,-z'
'-x+1/2,y+1/2,-z'
'x+1/2,-y+1/2,z'
loop_
_atom_site_label
_atom_site_type_symbol
_atom_site_fract_x
_atom_site_fract_y
_atom_site_fract_z
Mg1 Mg 0.0000 0.0000 0.0000
Ag1 Ag 0.2480 0.5000 0.2484
Ag2 Ag 0.2488 0.3338 0.7502
Au1 Au 0.0000 0.1625 0.5000
Au2 Au 0.0000 0.3285 0.0000
Au3 Au 0.0000 0.5000 0.5000
```

---

Density functional theory data (GGA-PBE) for a relaxed structure of MgAg5Au2.

Calculated values
magnetic moment: 0.00 μB/f.u.
crystal system: orthorhombic
energy of formation: -0.149 eV/atom

Cell and atoms, written as CIF:
```
data_MgAg5Au2
_chemical_formula_sum 'Mg2 Ag10 Au4'
_cell_length_a 5.9737
_cell_length_b 11.9885
_cell_length_c 4.0026
_cell_angle_alpha 90.00
_cell_angle_beta 90.00
_cell_angle_gamma 90.00
_symmetry_space_group_name_H-M 'P b a m'
_symmetry_Int_Tables_number 55
loop_
_symmetry_equiv_pos_as_xyz
'x,y,z'
'-x,-y,-z'
'-x,-y,z'
'x,y,-z'
'x+1/2,-y+1/2,-z'
'-x+1/2,y+1/2,z'
'-x+1/2,y+1/2,-z'
'x+1/2,-y+1/2,z'
loop_
_atom_site_label
_atom_site_type_symbol
_atom_site_fract_x
_atom_site_fract_y
_atom_site_fract_z
Mg1 Mg 0.0000 0.0000 0.0000
Ag1 Ag 0.0000 0.5000 0.0000
Ag2 Ag 0.0095 0.2488 0.0000
Ag3 Ag 0.2410 0.6265 0.5000
Au1 Au 0.2379 0.8792 0.5000
```